No. 1
{"formula": "CsCdAg2", "functional": "PBE", "state": "relaxed", "lattice": [[4.9121, 0.0000, 0.0000], [0.0000, 8.1733, 0.0000], [0.0000, 0.0000, 6.9462]], "species": ["Cs", "Cs", "Cd", "Cd", "Ag", "Ag", "Ag", "Ag"], "frac_coords": [[0.2500, 0.2500, 0.0957], [0.7500, 0.7500, 0.9043], [0.2500, 0.7500, 0.4085], [0.7500, 0.2500, 0.5915], [0.2500, 0.0724, 0.5707], [0.2500, 0.4276, 0.5707], [0.7500, 0.5724, 0.4293], [0.7500, 0.9276, 0.4293]], "polymorph_energy_ev_per_atom": 0.013, "n_ef_per_ev_fu": 1.300, "total_energy_ev_per_cell": -15.221, "spacegroup": "Pmmn (59)"}

No. 2
{"formula": "Cs3CdAg6", "functional": "PBE", "state": "relaxed", "lattice": [[6.3792, -3.2894, 0.0000], [6.3792, 3.2894, 0.0000], [-2.6917, 0.0000, 7.1812]], "species": ["Cs", "Cs", "Cs", "Cd", "Ag", "Ag", "Ag", "Ag", "Ag", "Ag"], "frac_coords": [[0.0000, 0.0000, 0.0000], [0.4884, 0.4884, 0.7370], [0.5116, 0.5116, 0.2630], [0.0000, 0.0000, 0.5000], [0.0152, 0.4515, 0.7995], [0.2140, 0.2140, 0.4528], [0.4515, 0.0152, 0.7995], [0.5485, 0.9848, 0.2005], [0.7860, 0.7860, 0.5472], [0.9848, 0.5485, 0.2005]], "n_ef_per_ev_fu": 3.756, "total_energy_ev_per_cell": -19.127, "spacegroup": "C2/m (12)"}

No. 3
{"formula": "CsCd6Ag3", "functional": "PBE", "state": "relaxed", "lattice": [[7.5162, 0.0000, 0.0000], [0.0000, 7.4812, 0.0000], [-4.5826, 0.0000, 9.0761]], "species": ["Cs", "Cs", "Cd", "Cd", "Cd", "Cd", "Cd", "Cd", "Cd", "Cd", "Cd", "Cd", "Cd", "Cd", "Ag", "Ag", "Ag", "Ag", "Ag", "Ag"], "frac_coords": [[0.0000, 0.0000, 0.0000], [0.0000, 0.5000, 0.5000], [0.1261, 0.0226, 0.6762], [0.1261, 0.4774, 0.1762], [0.2515, 0.6945, 0.8598], [0.2515, 0.8055, 0.3598], [0.4843, 0.1951, 0.2903], [0.4843, 0.3049, 0.7903], [0.5157, 0.6951, 0.2097], [0.5157, 0.8049, 0.7097], [0.7485, 0.1945, 0.6402], [0.7485, 0.3055, 0.1402], [0.8739, 0.5226, 0.8238], [0.8739, 0.9774, 0.3238], [0.3191, 0.1407, 0.4973], [0.3191, 0.3593, 0.9973], [0.5000, 0.0000, 0.0000], [0.5000, 0.5000, 0.5000], [0.6809, 0.6407, 0.0027], [0.6809, 0.8593, 0.5027]], "n_ef_per_ev_fu": 3.767, "total_energy_ev_per_cell": -29.228, "spacegroup": "P2_1/c (14)"}

No. 4
{"formula": "CsCd9Ag2", "functional": "PBE", "state": "relaxed", "lattice": [[9.4276, 0.0000, 0.0000], [-4.7138, 8.1645, 0.0000], [0.0000, 0.0000, 4.0585]], "species": ["Cs", "Cd", "Cd", "Cd", "Cd", "Cd", "Cd", "Cd", "Cd", "Cd", "Ag", "Ag"], "frac_coords": [[0.0000, 0.0000, 0.0000], [0.0000, 0.5000, 0.0000], [0.1985, 0.3970, 0.5000], [0.1985, 0.8015, 0.5000], [0.3970, 0.1985, 0.5000], [0.5000, 0.0000, 0.0000], [0.5000, 0.5000, 0.0000], [0.6030, 0.8015, 0.5000], [0.8015, 0.1985, 0.5000], [0.8015, 0.6030, 0.5000], [0.3333, 0.6667, 0.0000], [0.6667, 0.3333, 0.0000]], "polymorph_energy_ev_per_atom": 0.060, "n_ef_per_ev_fu": 5.604, "total_energy_ev_per_cell": -14.808, "spacegroup": "P6/mmm (191)"}

No. 5
{"formula": "CsCd2Ag", "functional": "PBE", "state": "relaxed", "lattice": [[0.0000, 4.0644, 4.0644], [4.0644, 0.0000, 4.0644], [4.0644, 4.0644, 0.0000]], "species": ["Cs", "Cd", "Cd", "Ag"], "frac_coords": [[0.0000, 0.0000, 0.0000], [0.2500, 0.2500, 0.2500], [0.7500, 0.7500, 0.7500], [0.5000, 0.5000, 0.5000]], "polymorph_energy_ev_per_atom": 0.266, "n_ef_per_ev_fu": 1.230, "total_energy_ev_per_cell": -4.743, "spacegroup": "Fm-3m (225)"}

No. 6
{"formula": "CsCdAg2", "functional": "PBE", "state": "relaxed", "lattice": [[3.7198, 0.0000, 0.0000], [0.0000, 3.7198, 0.0000], [0.0000, 0.0000, 8.2825]], "species": ["Cs", "Cd", "Ag", "Ag"], "frac_coords": [[0.0000, 0.0000, 0.0000], [0.0000, 0.0000, 0.5000], [0.5000, 0.5000, 0.3308], [0.5000, 0.5000, 0.6692]], "polymorph_energy_ev_per_atom": 0.182, "n_ef_per_ev_fu": 1.101, "total_energy_ev_per_cell": -6.937, "spacegroup": "P4/mmm (123)"}

No. 7
{"formula": "CsCd2Ag", "functional": "PBE", "state": "relaxed", "lattice": [[2.5054, 1.4465, 6.6919], [-2.5054, 1.4465, 6.6919], [0.0000, -2.8929, 6.6919]], "species": ["Cs", "Cd", "Cd", "Ag"], "frac_coords": [[0.0000, 0.0000, 0.0000], [0.5083, 0.5083, 0.5083], [0.8160, 0.8160, 0.8160], [0.1809, 0.1809, 0.1809]], "polymorph_energy_ev_per_atom": 0.000, "n_ef_per_ev_fu": 2.377, "total_energy_ev_per_cell": -5.808, "spacegroup": "R3m (160)"}

No. 8
{"formula": "Cs2CdAg", "functional": "PBE", "state": "relaxed", "lattice": [[4.4145, -2.5498, 0.0000], [4.4145, 2.5498, 0.0000], [-2.9776, 0.0000, 9.7354]], "species": ["Cs", "Cs", "Cd", "Ag"], "frac_coords": [[0.0000, 0.0000, 0.0000], [0.1758, 0.1758, 0.5243], [0.7544, 0.7544, 0.2623], [0.4212, 0.4212, 0.2620]], "polymorph_energy_ev_per_atom": 0.000, "n_ef_per_ev_fu": 2.874, "total_energy_ev_per_cell": -5.623, "spacegroup": "Cm (8)"}

No. 9
{"formula": "Cs3Cd4Ag2", "functional": "PBE", "state": "relaxed", "lattice": [[5.0177, 0.0000, 0.0000], [-2.5060, 6.9521, 0.0000], [-0.0299, -3.6359, 9.8715]], "species": ["Cs", "Cs", "Cs", "Cd", "Cd", "Cd", "Cd", "Ag", "Ag"], "frac_coords": [[0.0000, 0.0000, 0.0000], [0.3773, 0.7539, 0.6271], [0.6227, 0.2461, 0.3729], [0.0900, 0.1790, 0.6383], [0.2539, 0.5077, 0.9200], [0.7461, 0.4923, 0.0800], [0.9100, 0.8210, 0.3617], [0.3225, 0.6451, 0.2203], [0.6775, 0.3549, 0.7797]], "n_ef_per_ev_fu": 4.176, "total_energy_ev_per_cell": -12.325, "spacegroup": "P-1 (2)"}

No. 10
{"formula": "CsCd2Ag", "functional": "PBE", "state": "relaxed", "lattice": [[2.4962, 1.4412, 6.6802], [-2.4962, 1.4412, 6.6802], [0.0000, -2.8824, 6.6802]], "species": ["Cs", "Cd", "Cd", "Ag"], "frac_coords": [[0.0000, 0.0000, 0.0000], [0.1881, 0.1881, 0.1881], [0.8119, 0.8119, 0.8119], [0.5000, 0.5000, 0.5000]], "polymorph_energy_ev_per_atom": 0.001, "n_ef_per_ev_fu": 2.384, "total_energy_ev_per_cell": -5.803, "spacegroup": "R-3m (166)"}

No. 11
{"formula": "CsCdAg", "functional": "PBE", "state": "relaxed", "lattice": [[0.0000, 4.0236, 4.0236], [4.0236, 0.0000, 4.0236], [4.0236, 4.0236, 0.0000]], "species": ["Cs", "Cd", "Ag"], "frac_coords": [[0.0000, 0.0000, 0.0000], [0.5000, 0.5000, 0.5000], [0.2500, 0.2500, 0.2500]], "polymorph_energy_ev_per_atom": 0.163, "n_ef_per_ev_fu": 0.961, "total_energy_ev_per_cell": -4.171, "spacegroup": "F-43m (216)"}

No. 12
{"formula": "Cs2Cd12Ag5", "functional": "PBE", "state": "relaxed", "lattice": [[5.3690, 3.0998, 4.7914], [-5.3690, 3.0998, 4.7914], [0.0000, -6.1996, 4.7914]], "species": ["Cs", "Cs", "Cd", "Cd", "Cd", "Cd", "Cd", "Cd", "Cd", "Cd", "Cd", "Cd", "Cd", "Cd", "Ag", "Ag", "Ag", "Ag", "Ag"], "frac_coords": [[0.1294, 0.1294, 0.1294], [0.8706, 0.8706, 0.8706], [0.1625, 0.1625, 0.5933], [0.1625, 0.5933, 0.1625], [0.2168, 0.5000, 0.7832], [0.2168, 0.7832, 0.5000], [0.4067, 0.8375, 0.8375], [0.5000, 0.2168, 0.7832], [0.5000, 0.7832, 0.2168], [0.5933, 0.1625, 0.1625], [0.7832, 0.2168, 0.5000], [0.7832, 0.5000, 0.2168], [0.8375, 0.4067, 0.8375], [0.8375, 0.8375, 0.4067], [0.0000, 0.5000, 0.5000], [0.3991, 0.3991, 0.3991], [0.5000, 0.0000, 0.5000], [0.5000, 0.5000, 0.0000], [0.6009, 0.6009, 0.6009]], "n_ef_per_ev_fu": 6.524, "total_energy_ev_per_cell": -27.388, "spacegroup": "R-3m (166)"}